A relaxed CaPb2Au9 crystal. Source: Alexandria via LeMat-Bulk, functional GGA-PBE.

The space group is R-3m (No. 166, hexagonal axes) and the conventional cell measures 5.6694, 5.6694 and 28.1276 Å, with angles of 90.00, 90.00 and 120.00 degrees. Symmetry generates all atoms from Ca at (0.0000, 0.0000, 0.0000), Pb at (0.0000, 0.0000, 0.1449), Au at (0.0000, 0.0000, 0.3331), Au at (0.0000, 0.0000, 0.5000) and Au at (0.0018, 0.5009, 0.9169).

The size of the total moment comes out at 0.0 Bohr magnetons per cell. The formation energy comes out at -2.6 eV/f.u. As for the total energy: -41.5 eV/f.u. As for the density of states at the Fermi level: 0.441 states/eV per atom.